{
  "formula": "HoCdAgHg",
  "functional": "PBE-GGA",
  "state": "optimized geometry",
  "total_magnetization_mub_per_fu": 0.00,
  "spacegroup": "F-43m (216)",
  "formation_enthalpy_0k_mev_per_atom": -344,
  "cell": [[0.000, 3.529, 3.529], [3.529, 0.000, 3.529], [3.529, 3.529, 0.000]],
  "species": ["Cd", "Ho", "Ag", "Hg"],
  "frac_coords": [[0.750, 0.750, 0.750], [0.250, 0.250, 0.250], [0.000, 0.000, 0.000], [0.500, 0.500, 0.500]]
}